# 1
An optimized crystal structure of K2CdHg. Source: Alexandria, functional PBE.

## Properties
The space group is P2/m, No. 10. As for the crystal system: monoclinic. The calculation puts the total energy at -0.953 eV/atom. The value obtained for the total magnetization is 0.00 Bohr magnetons per cell. The energy relative to the elements comes out at -0.10 eV per atom.

Cell: 4.827 4.041 8.830 Å, 63.35 90.00 90.00°
Atoms (fractional coordinates):
1 K 0.000 0.002 0.996
2 K 0.000 0.498 0.504
3 Hg 0.500 0.750 0.750
4 Cd 0.500 0.250 0.250

# 2
An optimized crystal structure of Sr3NiSn3. Source: Alexandria, functional PBE.

## Properties
The space group is C2/m, No. 12. As for the crystal system: monoclinic. The calculation puts the total energy at -3.818 eV/atom. The value obtained for the total magnetization is 0.00 Bohr magnetons per cell. The energy relative to the elements comes out at -0.56 eV per atom.

Cell: 4.786 6.440 15.055 Å, 84.98 80.85 68.19°
Atoms (fractional coordinates):
1 Sr 0.524 0.340 0.612
2 Sr 0.476 0.660 0.388
3 Sr 0.253 0.258 0.237
4 Sr 0.747 0.742 0.763
5 Sr 0.403 0.278 0.917
6 Sr 0.597 0.722 0.083
7 Ni 0.758 0.086 0.398
8 Ni 0.242 0.914 0.602
9 Sn 0.835 0.790 0.540
10 Sn 0.165 0.210 0.460
11 Sn 0.113 0.853 0.921
12 Sn 0.887 0.147 0.079
13 Sn 0.951 0.851 0.247
14 Sn 0.049 0.149 0.753

# 3
An optimized crystal structure of Ho6Zn2Cd. Source: Alexandria, functional PBE.

## Properties
The space group is Immm, No. 71. As for the crystal system: orthorhombic. The calculation puts the total energy at -3.634 eV/atom. The value obtained for the total magnetization is 0.00 Bohr magnetons per cell. The energy relative to the elements comes out at -0.20 eV per atom. As for the energy above the most stable polymorph in this dataset: 0.0 meV per atom.

Cell: 8.545 8.545 8.545 Å, 107.77 111.20 109.46°
Atoms (fractional coordinates):
1 Ho 0.546 0.728 0.818
2 Ho 0.454 0.272 0.182
3 Ho 0.090 0.272 0.818
4 Ho 0.910 0.728 0.182
5 Ho 0.795 0.757 0.551
6 Ho 0.205 0.243 0.449
7 Ho 0.205 0.757 0.962
8 Ho 0.795 0.243 0.038
9 Ho 0.716 0.397 0.681
10 Ho 0.284 0.603 0.319
11 Ho 0.284 0.965 0.681
12 Ho 0.716 0.035 0.319
13 Zn 0.500 0.375 0.875
14 Zn 0.500 0.625 0.125
15 Zn 0.636 0.000 0.636
16 Zn 0.364 0.000 0.364
17 Cd 0.000 0.500 0.500
18 Cd 0.000 0.000 0.000

# 4
An optimized crystal structure of TiCuP2Cl. Source: Alexandria, functional PBE.

## Properties
As for the raw formation energy: 0.2411 eV per atom. The space group is P4/mmm, No. 123. As for the crystal system: tetragonal. The calculation puts the total energy at -4.690 eV/atom. The value obtained for the total magnetization is 0.00 Bohr magnetons per cell. As for the energy above the most stable polymorph in this dataset: 0.0 meV per atom.

Cell: 4.734 4.734 4.742 Å, 90.00 90.00 90.00°
Atoms (fractional coordinates):
1 P 0.000 0.500 0.000
2 P 0.500 0.000 0.000
3 Cl 0.000 0.000 0.500
4 Cu 0.500 0.500 0.500
5 Ti 0.000 0.000 0.000

# 5
An optimized crystal structure of Sm4Er2Tl3O2. Source: Alexandria, functional PBE.

## Properties
As for the raw formation energy: -1.1966 eV per atom. The space group is I4/mmm, No. 139. As for the crystal system: tetragonal. The calculation puts the total energy at -5.289 eV/atom. The value obtained for the total magnetization is 0.00 Bohr magnetons per cell.

Cell: 4.784 4.784 12.929 Å, 100.66 100.66 90.00°
Atoms (fractional coordinates):
1 Sm 0.413 0.913 0.827
2 Sm 0.913 0.413 0.827
3 Sm 0.087 0.587 0.173
4 Sm 0.587 0.087 0.173
5 Er 0.303 0.303 0.606
6 Er 0.697 0.697 0.394
7 Tl 0.000 0.000 0.000
8 Tl 0.178 0.178 0.357
9 Tl 0.822 0.822 0.643
10 O 0.394 0.394 0.787
11 O 0.606 0.606 0.213

# 6
An optimized crystal structure of V2Co6Si. Source: Alexandria, functional PBE.

## Properties
As for the raw formation energy: 0.1565 eV per atom. The space group is Immm, No. 71. As for the crystal system: orthorhombic. The calculation puts the total energy at -7.210 eV/atom. The value obtained for the total magnetization is 0.00 Bohr magnetons per cell.

Cell: 3.699 5.435 6.580 Å, 114.39 106.35 90.00°
Atoms (fractional coordinates):
1 V 0.664 0.664 0.328
2 V 0.336 0.336 0.672
3 Co 0.165 0.407 0.330
4 Co 0.835 0.077 0.670
5 Co 0.835 0.593 0.670
6 Co 0.500 0.246 0.000
7 Co 0.165 0.923 0.330
8 Co 0.500 0.754 0.000
9 Si 0.000 0.000 0.000

# 7
An optimized crystal structure of Nd2Ho2Ni15. Source: Alexandria, functional PBE.

## Properties
The space group is R-3m, No. 166. As for the crystal system: trigonal. The calculation puts the total energy at -5.764 eV/atom. The value obtained for the total magnetization is 2.06 Bohr magnetons per cell. The energy relative to the elements comes out at -0.22 eV per atom.

Cell: 6.513 6.513 6.513 Å, 82.46 82.46 82.46°
Site moments in Bohr magnetons follow the coordinates.
Atoms (fractional coordinates):
1 Nd 0.358 0.358 0.358  -0.02
2 Nd 0.642 0.642 0.642  -0.02
3 Ho 0.111 0.111 0.111  -0.05
4 Ho 0.889 0.889 0.889  -0.05
5 Ni 0.500 0.000 0.000  0.13
6 Ni 0.000 0.000 0.500  0.13
7 Ni 0.000 0.500 0.000  0.13
8 Ni 0.000 0.694 0.306  0.18
9 Ni 0.694 0.306 0.000  0.18
10 Ni 0.306 0.000 0.694  0.18
11 Ni 0.306 0.694 0.000  0.18
12 Ni 0.694 0.000 0.306  0.18
13 Ni 0.000 0.306 0.694  0.18
14 Ni 0.165 0.653 0.653  0.15
15 Ni 0.653 0.653 0.165  0.15
16 Ni 0.653 0.165 0.653  0.15
17 Ni 0.835 0.347 0.347  0.15
18 Ni 0.347 0.347 0.835  0.15
19 Ni 0.347 0.835 0.347  0.15

# 8
An optimized crystal structure of PuTeIO6. Source: Alexandria, functional PBE.

## Properties
As for the raw formation energy: -1.3830 eV per atom. The space group is Imma, No. 74. As for the crystal system: orthorhombic. The calculation puts the total energy at -6.802 eV/atom. The value obtained for the total magnetization is 6.01 Bohr magnetons per cell.

Cell: 7.374 8.551 7.672 Å, 123.87 118.73 90.00°
Site moments in Bohr magnetons follow the coordinates.
Atoms (fractional coordinates):
1 Pu 0.500 0.500 0.000  3.42
2 Pu 0.500 0.000 0.000  3.42
3 Te 0.500 0.000 0.500  0.04
4 Te 0.000 0.000 0.500  0.04
5 I 0.790 0.540 0.581  -0.08
6 I 0.210 0.460 0.419  -0.08
7 O 0.401 0.651 0.803  -0.07
8 O 0.819 0.069 0.639  0.02
9 O 0.817 0.033 0.243  -0.07
10 O 0.426 0.710 0.243  -0.07
11 O 0.426 0.033 0.243  -0.07
12 O 0.817 0.710 0.243  -0.07
13 O 0.599 0.349 0.197  -0.07
14 O 0.181 0.931 0.361  0.02
15 O 0.183 0.967 0.757  -0.07
16 O 0.574 0.290 0.757  -0.07
17 O 0.574 0.967 0.757  -0.07
18 O 0.183 0.290 0.757  -0.07

# 9
An optimized crystal structure of Te2Pd2Se. Source: Alexandria, functional PBE.

## Properties
As for the raw formation energy: -0.2945 eV per atom. The space group is P2_1/m, No. 11. As for the crystal system: monoclinic. The calculation puts the total energy at -4.325 eV/atom. The value obtained for the total magnetization is 0.00 Bohr magnetons per cell. As for the energy above the most stable polymorph in this dataset: 0.0 meV per atom.

Cell: 3.892 10.391 5.717 Å, 92.77 90.00 90.00°
Atoms (fractional coordinates):
1 Te 0.751 0.411 0.259
2 Te 0.750 0.938 0.746
3 Te 0.250 0.062 0.254
4 Te 0.249 0.589 0.741
5 Pd 0.250 0.831 0.994
6 Pd 0.749 0.414 0.754
7 Pd 0.750 0.169 0.006
8 Pd 0.251 0.586 0.246
9 Se 0.750 0.756 0.279
10 Se 0.250 0.244 0.721

# 10
An optimized crystal structure of Ca3Ge2PbAu6. Source: Alexandria, functional PBE.

## Properties
The space group is P-3m1, No. 164. As for the crystal system: trigonal. The calculation puts the total energy at -3.602 eV/atom. The value obtained for the total magnetization is 0.00 Bohr magnetons per cell. The energy relative to the elements comes out at -0.38 eV per atom.

Cell: 5.777 5.777 10.277 Å, 90.00 90.00 120.00°
Atoms (fractional coordinates):
1 Ca 0.333 0.667 0.613
2 Ca 0.667 0.333 0.387
3 Ca 0.000 0.000 0.000
4 Ge 0.667 0.333 0.937
5 Ge 0.333 0.667 0.063
6 Pb 0.000 0.000 0.500
7 Au 0.666 0.833 0.259
8 Au 0.167 0.334 0.259
9 Au 0.167 0.833 0.259
10 Au 0.833 0.666 0.741
11 Au 0.334 0.167 0.741
12 Au 0.833 0.167 0.741

# 11
An optimized crystal structure of CaGaRe2Se. Source: Alexandria, functional PBE.

## Properties
As for the raw formation energy: 2.6470 eV per atom. The space group is P4/mmm, No. 123. As for the crystal system: tetragonal. The calculation puts the total energy at -4.035 eV/atom. The value obtained for the total magnetization is 4.46 Bohr magnetons per cell.

Cell: 4.955 5.163 4.955 Å, 90.00 90.00 90.00°
Site moments in Bohr magnetons follow the coordinates.
Atoms (fractional coordinates):
1 Re 0.000 0.000 0.500  1.81
2 Re 0.500 0.000 0.000  2.19
3 Ca 0.000 0.000 0.000  0.00
4 Ga 0.000 0.500 0.000  -0.04
5 Se 0.500 0.500 0.500  -0.08

# 12
An optimized crystal structure of Ca2MnCu. Source: Alexandria, functional PBE.

## Properties
The space group is I-4m2, No. 119. As for the crystal system: tetragonal. The calculation puts the total energy at -3.939 eV/atom. The value obtained for the total magnetization is 3.91 Bohr magnetons per cell. The energy relative to the elements comes out at 0.38 eV per atom. As for the energy above the most stable polymorph in this dataset: 213.5 meV per atom.

Cell: 5.833 5.833 5.833 Å, 135.67 135.67 64.49°
Site moments in Bohr magnetons follow the coordinates.
Atoms (fractional coordinates):
1 Ca 0.000 0.000 0.000  -0.04
2 Ca 0.250 0.750 0.500  -0.05
3 Mn 0.750 0.250 0.500  3.87
4 Cu 0.500 0.500 0.000  0.01